No. 1
Compound: PmEr3S6
Source: OQMD via LeMat-Bulk
Functional: PBE-GGA
Structure: relaxed

abc: 10.9943 3.9507 11.2611
angles: 90.00 108.79 90.00
Last column: nearest neighbours and their distance in Å.
Atoms (fractional coordinates):
Pm: 0.0477 0.2500 0.1940  8 S 2.87-3.02
Pm: 0.9523 0.7500 0.8060  8 S 2.87-3.02
Er: 0.1609 0.2500 0.5862  6 S 2.64-2.77
Er: 0.3193 0.7500 0.9981  7 S 2.67-2.91
Er: 0.4390 0.2500 0.3325  6 S 2.65-2.76
Er: 0.5610 0.7500 0.6675  6 S 2.65-2.76
Er: 0.6807 0.2500 0.0019  7 S 2.67-2.91
Er: 0.8391 0.7500 0.4138  6 S 2.64-2.77
S: 0.0821 0.7500 0.4053  3 Er 2.70-2.77, 2 Pm 3.02
S: 0.1167 0.2500 0.9634  3 Pm 2.87-2.93, 2 Er 2.91
S: 0.1957 0.7500 0.7490  3 Er 2.64-2.69, 1 Pm 2.95
S: 0.2624 0.7500 0.2269  3 Er 2.76-2.84, 2 Pm 3.01
S: 0.3956 0.2500 0.5600  4 Er 2.69-2.75
S: 0.4776 0.2500 0.1119  4 Er 2.65-2.88
S: 0.5224 0.7500 0.8881  4 Er 2.65-2.88
S: 0.6044 0.7500 0.4400  4 Er 2.69-2.75
S: 0.7376 0.2500 0.7731  3 Er 2.76-2.84, 2 Pm 3.01
S: 0.8043 0.2500 0.2510  3 Er 2.64-2.69, 1 Pm 2.95
S: 0.8833 0.7500 0.0366  3 Pm 2.87-2.93, 2 Er 2.91
S: 0.9179 0.2500 0.5947  3 Er 2.70-2.77, 2 Pm 3.02

Results
- Uncorrected energy: -0.236 Ha/atom
- Volume: 463.1 Å³ per cell
- Symmetry: No. 11



No. 2
Compound: Al6AsH6Ir
Source: OQMD via LeMat-Bulk
Functional: PBE-GGA
Structure: relaxed

abc: 6.3705 6.3705 6.3705
angles: 60.00 60.00 60.00
Last column: nearest neighbours and their distance in Å.
Atoms (fractional coordinates):
Al: 0.2304 0.2304 0.7696  4 H 2.32, 1 Ir 2.43
Al: 0.2304 0.7696 0.2304  4 H 2.32, 1 Ir 2.43
Al: 0.2304 0.7696 0.7696  4 H 2.32, 1 Ir 2.43
Al: 0.7696 0.2304 0.2304  4 H 2.32, 1 Ir 2.43
Al: 0.7696 0.2304 0.7696  4 H 2.32, 1 Ir 2.43
Al: 0.7696 0.7696 0.2304  4 H 2.32, 1 Ir 2.43
As: 0.2500 0.2500 0.2500  6 H 1.72
H: 0.0594 0.0594 0.4406  1 As 1.72
H: 0.0594 0.4406 0.0594  1 As 1.72
H: 0.0594 0.4406 0.4406  1 As 1.72
H: 0.4406 0.0594 0.0594  1 As 1.72
H: 0.4406 0.0594 0.4406  1 As 1.72
H: 0.4406 0.4406 0.0594  1 As 1.72
Ir: 0.5000 0.5000 0.5000  6 Al 2.43

Results
- Uncorrected energy: -0.137 Ha/atom
- Volume: 182.8 Å³ per cell
- Symmetry: No. 216



No. 3
Compound: BaMgZnGa2
Source: OQMD via LeMat-Bulk
Functional: PBE-GGA
Structure: relaxed

abc: 6.5239 6.5239 6.5239
angles: 138.65 138.65 59.91
Last column: nearest neighbours and their distance in Å.
Atoms (fractional coordinates):
Ba: 0.0000 0.0000 0.0000  8 Ga 3.52, 4 Mg 3.65, 4 Zn 3.65
Mg: 0.7500 0.2500 0.5000  4 Ga 2.75
Zn: 0.2500 0.7500 0.5000  4 Ga 2.75
Ga: 0.3831 0.3831 0.0000  1 Ga 2.64, 2 Mg 2.75, 2 Zn 2.75
Ga: 0.6169 0.6169 0.0000  1 Ga 2.64, 2 Mg 2.75, 2 Zn 2.75

Results
- Uncorrected energy: -0.091 Ha/atom
- Volume: 120.0 Å³ per cell
- Symmetry: No. 119



No. 4
Compound: SrSmIn
Source: OQMD via LeMat-Bulk
Functional: PBE-GGA
Structure: relaxed

abc: 5.3506 5.3506 5.3506
angles: 60.00 60.00 60.00
Last column: nearest neighbours and their distance in Å.
Atoms (fractional coordinates):
Sr: 0.0000 0.0000 0.0000  4 Sm 3.28
Sm: 0.7500 0.7500 0.7500  4 Sr 3.28, 4 In 3.28
In: 0.5000 0.5000 0.5000  4 Sm 3.28

Results
- Uncorrected energy: -0.104 Ha/atom
- Volume: 108.3 Å³ per cell
- Symmetry: No. 216



No. 5
Compound: RbBePt
Source: OQMD via LeMat-Bulk
Functional: PBE-GGA
Structure: relaxed

abc: 4.7754 4.7754 4.7754
angles: 60.00 60.00 60.00
Last column: nearest neighbours and their distance in Å.
Atoms (fractional coordinates):
Rb: 0.0000 0.0000 0.0000  4 Pt 2.92
Be: 0.5000 0.5000 0.5000  4 Pt 2.92
Pt: 0.7500 0.7500 0.7500  4 Be 2.92, 4 Rb 2.92

Results
- Energy above the lowest structure with this stoichiometry: 0.061 eV per atom
- Volume: 77.0 Å³ per cell
- Symmetry: No. 216



No. 6
Compound: HfMgNiB
Source: OQMD via LeMat-Bulk
Functional: PBE-GGA
Structure: relaxed

abc: 4.2296 4.2296 4.2296
angles: 60.00 60.00 60.00
Last column: nearest neighbours and their distance in Å.
Atoms (fractional coordinates):
Hf: 0.0000 0.0000 0.0000  4 Mg 2.59, 4 B 2.59
Mg: 0.7500 0.7500 0.7500  4 Ni 2.59, 4 Hf 2.59
Ni: 0.5000 0.5000 0.5000  4 Mg 2.59, 4 B 2.59
B: 0.2500 0.2500 0.2500  4 Hf 2.59, 4 Ni 2.59

Results
- Energy above the lowest structure with this stoichiometry: 0.405 eV per atom
- Volume: 53.5 Å³ per cell
- Symmetry: No. 216



No. 7
Compound: Gd2TmCuSn3Ir2
Source: OQMD via LeMat-Bulk
Functional: PBE-GGA
Structure: relaxed

abc: 3.8985 7.5281 7.5281
angles: 119.72 90.00 90.00
Last column: nearest neighbours and their distance in Å.
Atoms (fractional coordinates):
Gd: 0.0000 0.2033 0.7967  4 Ir 3.02, 1 Cu 3.07, 6 Sn 3.18-3.33
Gd: 0.0000 0.7967 0.2033  4 Ir 3.02, 1 Cu 3.07, 6 Sn 3.18-3.33
Tm: 0.0000 0.3902 0.3902  4 Ir 2.98, 1 Cu 3.06, 6 Sn 3.18-3.31
Cu: 0.0000 0.7950 0.7950  6 Sn 2.75-2.78, 1 Tm 3.06, 2 Gd 3.07
Sn: 0.5000 0.0574 0.0574  2 Cu 2.78, 2 Ir 2.81
Sn: 0.5000 0.5368 0.7950  2 Cu 2.75, 2 Ir 2.82-2.87
Sn: 0.5000 0.7950 0.5368  2 Cu 2.75, 2 Ir 2.82-2.87
Ir: 0.5000 0.1338 0.4620  3 Sn 2.81-2.87, 2 Tm 2.98, 4 Gd 3.02
Ir: 0.5000 0.4620 0.1338  3 Sn 2.81-2.87, 2 Tm 2.98, 4 Gd 3.02

Results
- Uncorrected energy: -0.219 Ha/atom
- Volume: 191.9 Å³ per cell
- Symmetry: No. 38



No. 8
Compound: ReC2
Source: OQMD via LeMat-Bulk
Functional: PBE-GGA
Structure: relaxed

abc: 2.8692 2.8692 8.1411
angles: 90.00 90.00 120.00
Last column: nearest neighbours and their distance in Å.
Atoms (fractional coordinates):
Re: 0.3333 0.6667 0.2500  6 C 2.13
Re: 0.6667 0.3333 0.7500  6 C 2.13
C: 0.0000 0.0000 0.0848  1 C 1.38
C: 0.0000 0.0000 0.4152  1 C 1.38
C: 0.0000 0.0000 0.5848  1 C 1.38
C: 0.0000 0.0000 0.9152  1 C 1.38

Results
- Energy above the lowest structure with this stoichiometry: 0.000 eV per atom
- Volume: 58.0 Å³ per cell
- Symmetry: No. 194



No. 9
Compound: Fe2Se
Source: OQMD via LeMat-Bulk
Functional: PBE-GGA
Structure: relaxed

abc: 3.9503 3.9503 3.9503
angles: 60.00 60.00 60.00
Last column: nearest neighbours and their distance in Å.
Atoms (fractional coordinates):
Fe: 0.2500 0.2500 0.2500  4 Se 2.42
Fe: 0.7500 0.7500 0.7500  4 Se 2.42
Se: 0.0000 0.0000 0.0000  8 Fe 2.42

Results
- Energy above the lowest structure with this stoichiometry: 0.000 eV per atom
- Volume: 43.6 Å³ per cell
- Symmetry: No. 225